(1)
PRuNF2 at its PBEsol-relaxed geometry, computed with meta-GGA SCAN.

Calculated values
Uncorrected formation energy in eV/atom: 0.121

Unit cell a=3.237 b=4.349 c=4.349 alpha=90.00 beta=90.00 gamma=90.00
Each line ends with the local moment (μB).
Sites, in units of the cell vectors:
F (0.000, 0.000, 0.500)  0.05
N (0.500, 0.000, 0.000)  -0.01
P (0.000, 0.000, 0.000)  -0.09
Ru (0.500, 0.500, 0.500)  2.82
F (0.000, 0.500, 0.000)  0.05



(2)
NpAs at its PBEsol-relaxed geometry, computed with meta-GGA SCAN.

Calculated values
DFT formation energy in meV per atom: -522.1

Unit cell a=4.029 b=4.029 c=4.029 alpha=60.00 beta=60.00 gamma=60.00
Each line ends with the local moment (μB).
Sites, in units of the cell vectors:
As (0.000, 0.000, 0.000)  -0.20
Np (0.500, 0.500, 0.500)  3.78



(3)
KSc2PPt at its PBEsol-relaxed geometry, computed with meta-GGA SCAN.

Calculated values
DFT formation energy in meV per atom: 1500.1

Unit cell a=4.573 b=4.573 c=4.867 alpha=90.00 beta=90.00 gamma=90.00
Sites, in units of the cell vectors:
Sc (0.500, 0.000, 0.000)
K (0.000, 0.000, 0.000)
Sc (0.000, 0.500, 0.000)
P (0.000, 0.000, 0.500)
Pt (0.500, 0.500, 0.500)



(4)
FeRh5 at its PBEsol-relaxed geometry, computed with meta-GGA SCAN.

Calculated values
DFT formation energy in meV per atom: 111.5

Unit cell a=2.630 b=2.630 c=13.284 alpha=90.00 beta=90.00 gamma=120.00
Each line ends with the local moment (μB).
Sites, in units of the cell vectors:
Fe (0.000, 0.000, 0.000)  -2.92
Rh (0.333, 0.667, 0.851)  -0.27
Rh (0.333, 0.667, 0.664)  0.10
Rh (0.667, 0.333, 0.336)  0.10
Rh (0.000, 0.000, 0.500)  0.07
Rh (0.667, 0.333, 0.149)  -0.27



(5)
CdHgP2 at its PBEsol-relaxed geometry, computed with meta-GGA SCAN.

Calculated values
DFT formation energy in meV per atom: 569.6

Unit cell a=3.796 b=4.608 c=4.608 alpha=108.70 beta=90.00 gamma=90.00
Sites, in units of the cell vectors:
P (0.000, 0.500, 0.000)
Cd (0.500, 0.000, 0.000)
P (0.000, 0.000, 0.500)
Hg (0.500, 0.500, 0.500)



(6)
ZrZn2Sb at its PBEsol-relaxed geometry, computed with meta-GGA SCAN.

Calculated values
Uncorrected formation energy in eV/atom: -0.381

Unit cell a=3.974 b=3.974 c=5.371 alpha=111.71 beta=111.71 gamma=90.00
Sites, in units of the cell vectors:
Zn (0.250, 0.750, 0.500)
Zr (0.750, 0.250, 0.500)
Sb (0.000, 0.000, 0.000)
Zn (0.500, 0.500, 0.000)



(7)
CuPPb2Br at its PBEsol-relaxed geometry, computed with meta-GGA SCAN.

Calculated values
Uncorrected formation energy in eV/atom: 0.043

Unit cell a=4.139 b=5.536 c=5.536 alpha=90.00 beta=90.00 gamma=90.00
Sites, in units of the cell vectors:
Pb (0.000, 0.500, 0.000)
Cu (0.000, 0.000, 0.000)
Br (0.500, 0.500, 0.500)
P (0.500, 0.000, 0.000)
Pb (0.000, 0.000, 0.500)



(8)
Li2Mg at its PBEsol-relaxed geometry, computed with meta-GGA SCAN.

Calculated values
DFT formation energy in meV per atom: -3.0

Unit cell a=4.899 b=4.899 c=5.718 alpha=90.00 beta=90.00 gamma=120.00
Sites, in units of the cell vectors:
Li (0.000, 0.000, 0.500)
Li (0.667, 0.333, 0.750)
Mg (0.333, 0.667, 0.750)
Li (0.000, 0.000, 0.000)
Mg (0.667, 0.333, 0.250)
Li (0.333, 0.667, 0.250)



| no. | total energy (eV/cell) | size of the total moment (μB/f.u.) |
| --- | --- | --- |
| 1 | -60.989 | 2.919 |
| 2 | -128.244 | 3.926 |
| 3 | -109.894 | 0.000 |
| 4 | -186.318 | 3.128 |
| 5 | -117.099 | 0.000 |
| 6 | -96.513 | 0.000 |
| 7 | -196.406 | 0.000 |
| 8 | -19.524 | 0.089 |